Below is a geometry-optimized Rb3BP2 structure, with properties calculated at the PBE level.

The structure in POSCAR format:
```
Rb3BP2
1.0
4.8475 -4.6754 0.0000
4.8475 4.6754 0.0000
-3.2712 0.0000 8.8486
Rb B P
6 2 4
Cartesian
2.3941 3.2228 6.6364
2.7909 0.4757 0.1698
1.1553 -0.4757 4.5941
5.2685 0.4757 4.2544
3.6329 -0.4757 8.6787
4.0297 -3.2228 2.2121
4.0297 2.6463 2.2121
2.3941 -2.6463 6.6364
2.5004 2.6109 3.1254
5.5590 2.6109 1.2989
0.8648 -2.6109 7.5497
3.9234 -2.6109 5.7232
```

Computed properties:
As for the formation energy: -0.38 eV/atom. As for the crystal system: monoclinic. As for the space group: C2/c (15).

Below is a geometry-optimized Nd4CdCu2 structure, with properties calculated at the PBE level.

The structure in POSCAR format:
```
Nd4CdCu2
1.0
2.5395 1.4662 8.9267
-2.5395 1.4662 8.9267
0.0000 -2.9323 8.9267
Nd Cd Cu
4 1 2
Cartesian
0.0000 0.0000 3.1577
0.0000 0.0000 7.8484
0.0000 0.0000 18.9316
0.0000 0.0000 23.6223
0.0000 0.0000 13.3900
0.0000 0.0000 10.7466
0.0000 0.0000 16.0334
```

Computed properties:
As for the formation energy: 0.00 eV/atom. As for the crystal system: trigonal. As for the space group: R-3m (166).

Below is a geometry-optimized Pm2Tm2Zn structure, with properties calculated at the PBE level.

The structure in POSCAR format:
```
Pm2Tm2Zn
1.0
-1.7748 1.7748 11.3134
1.7748 -1.7748 11.3134
1.7748 1.7748 -11.3134
Pm Tm Zn
2 2 1
Cartesian
0.0000 0.0000 4.3320
0.0000 0.0000 18.2947
0.0000 0.0000 9.5841
0.0000 0.0000 13.0426
0.0000 0.0000 0.0000
```

Computed properties:
As for the formation energy: -0.13 eV/atom. As for the crystal system: tetragonal. As for the space group: I4/mmm (139).

Below is a geometry-optimized K2UPaSe4 structure, with properties calculated at the PBE level.

The structure in POSCAR format:
```
K2UPaSe4
1.0
7.2161 0.0000 0.0000
0.0000 4.1576 0.0000
-2.3970 0.0000 7.8697
K U Pa Se
2 1 1 4
Cartesian
0.0000 0.0000 0.0000
3.6081 2.0788 0.0000
-1.1985 2.0788 3.9348
2.4096 0.0000 3.9348
0.0198 0.0000 5.5980
1.2178 2.0788 2.2610
3.6013 2.0788 5.6086
4.7993 0.0000 2.2717
```

Computed properties:
As for the crystal system: monoclinic. As for the formation energy from raw total energies: -1.28 eV/atom. As for the space group: P2/m (10).

Number 1: total DFT energy (no corrections) -45.376 eV/cell. Number 2: total DFT energy (no corrections) -28.205 eV/cell. Number 3: total DFT energy (no corrections) -20.359 eV/cell. Number 4: total DFT energy (no corrections) -47.174 eV/cell.